Entry from Alexandria via LeMat-Bulk: a relaxed MgNb5 crystal (PBE-GGA).

Lattice parameters (Å, degrees): 4.7120 13.8253 3.4080 90.00 90.00 90.00
Positions (direct):
Mg  0.0000  0.0000  0.0000
Mg  0.5000  0.5000  0.0000
Nb  0.0000  0.1755  0.5000
Nb  0.0000  0.3371  0.0000
Nb  0.0000  0.5000  0.5000
Nb  0.0000  0.6629  0.0000
Nb  0.0000  0.8245  0.5000
Nb  0.5000  0.0000  0.5000
Nb  0.5000  0.1629  0.0000
Nb  0.5000  0.3245  0.5000
Nb  0.5000  0.6755  0.5000
Nb  0.5000  0.8371  0.0000

Summary:
Calculated density: 7312 kg/m³
Magnetization: 0.00 μB per atom
Symmetry: Cmmm
Energy relative to the elements: 111 meV per atom